First-principles (PBE-GGA) data for a relaxed structure of NpInSn6, as listed in Alexandria.

Geometry as extended XYZ:
```
8
Lattice="4.6480 0.0000 0.0000 0.0000 4.6480 0.0000 0.0000 0.0000 9.7988" Properties=species:S:1:pos:R:3 pbc="T T T"
Np 0.0000 0.0000 0.0000
In 0.0000 0.0000 4.8994
Sn 0.0000 2.3240 2.3781
Sn 0.0000 2.3240 7.4207
Sn 2.3240 0.0000 2.3781
Sn 2.3240 0.0000 7.4207
Sn 2.3240 2.3240 0.0000
Sn 2.3240 2.3240 4.8994
```

Computed properties:
Space group   P4/mmm (123)
Electronic total energy   -4.960 eV/atom

First-principles (PBE-GGA) data for a relaxed structure of NpInSn2, as listed in Alexandria.

Geometry as extended XYZ:
```
4
Lattice="3.9177 0.0000 0.0000 0.0000 3.9177 0.0000 0.0000 0.0000 6.7399" Properties=species:S:1:pos:R:3 pbc="T T T"
Np 0.0000 0.0000 0.0000
In 0.0000 0.0000 3.3700
Sn 1.9588 1.9588 1.7933
Sn 1.9588 1.9588 4.9466
```

Computed properties:
Space group   P4/mmm (123)
Electronic total energy   -5.868 eV/atom

First-principles (PBE-GGA) data for a relaxed structure of NpIn2SnTe4, as listed in Alexandria.

Geometry as extended XYZ:
```
8
Lattice="7.9107 0.0000 0.0000 0.0000 4.4738 0.0000 -2.5616 0.0000 7.7460" Properties=species:S:1:pos:R:3 pbc="T T T"
Np 0.0000 0.0000 0.0000
In -1.2808 2.2369 3.8730
In 2.6746 0.0000 3.8730
Sn 3.9554 2.2369 0.0000
Te 1.2578 2.2369 1.7415
Te -0.0480 0.0000 5.9509
Te 5.3972 0.0000 1.7951
Te 4.0914 2.2369 6.0045
```

Computed properties:
Space group   P2/m (10)
Electronic total energy   -4.741 eV/atom
E_form (uncorrected)   -367 meV per atom

First-principles (PBE-GGA) data for a relaxed structure of SrNp2In9, as listed in Alexandria.

Geometry as extended XYZ:
```
12
Lattice="4.7022 0.0000 0.0000 0.0000 4.7022 0.0000 0.0000 0.0000 14.1632" Properties=species:S:1:pos:R:3 pbc="T T T"
Sr 0.0000 0.0000 0.0000
Np 0.0000 0.0000 4.7798
Np 0.0000 0.0000 9.3833
In 0.0000 2.3511 2.4842
In 0.0000 2.3511 7.0816
In 0.0000 2.3511 11.6789
In 2.3511 0.0000 2.4842
In 2.3511 0.0000 7.0816
In 2.3511 0.0000 11.6789
In 2.3511 2.3511 0.0000
In 2.3511 2.3511 4.7763
In 2.3511 2.3511 9.3868
```

Computed properties:
Space group   P4/mmm (123)
Electronic total energy   -4.445 eV/atom

First-principles (PBE-GGA) data for a relaxed structure of Tb2NpIn9, as listed in Alexandria.

Geometry as extended XYZ:
```
12
Lattice="4.6344 0.0000 0.0000 0.0000 4.6344 0.0000 0.0000 0.0000 13.9557" Properties=species:S:1:pos:R:3 pbc="T T T"
Tb 0.0000 0.0000 2.3102
Tb 0.0000 0.0000 11.6455
Np 0.0000 0.0000 6.9779
In 0.0000 2.3172 0.0000
In 0.0000 2.3172 4.6611
In 0.0000 2.3172 9.2946
In 2.3172 0.0000 0.0000
In 2.3172 0.0000 4.6611
In 2.3172 0.0000 9.2946
In 2.3172 2.3172 2.3382
In 2.3172 2.3172 6.9779
In 2.3172 2.3172 11.6175
```

Computed properties:
Space group   P4/mmm (123)
Electronic total energy   -4.192 eV/atom

First-principles (PBE-GGA) data for a relaxed structure of Tb2NpIn3Te6, as listed in Alexandria.

Geometry as extended XYZ:
```
12
Lattice="3.8442 -6.6580 0.0000 3.8442 6.6580 0.0000 -2.5636 0.0000 8.0987" Properties=species:S:1:pos:R:3 pbc="T T T"
Tb 3.8442 4.4354 0.0000
Tb 3.8442 -4.4354 0.0000
Np 3.8442 0.0000 0.0000
In -1.2818 0.0000 4.0494
In 2.5624 2.2027 4.0494
In 2.5624 -2.2027 4.0494
Te -0.0128 2.2397 6.3099
Te 1.2570 0.0000 1.7822
Te -0.0128 -2.2397 6.3099
Te 5.1376 2.2397 1.7888
Te 3.8679 0.0000 6.3166
Te 5.1376 -2.2397 1.7888
```

Computed properties:
Space group   C2/m (12)
Electronic total energy   -4.910 eV/atom
E_form (uncorrected)   -804 meV per atom

First-principles (PBE-GGA) data for a relaxed structure of TbNpIn2Te4, as listed in Alexandria.

Geometry as extended XYZ:
```
8
Lattice="7.7011 0.0000 0.0000 0.0000 4.4266 0.0000 -2.5541 0.0000 8.1190" Properties=species:S:1:pos:R:3 pbc="T T T"
Tb 0.0000 0.0000 0.0000
Np 3.8505 2.2133 0.0000
In -1.2771 2.2133 4.0595
In 2.5735 0.0000 4.0595
Te 1.2624 2.2133 1.7902
Te -0.0051 0.0000 6.3295
Te 5.1520 0.0000 1.7896
Te 3.8846 2.2133 6.3288
```

Computed properties:
Space group   P2/m (10)
Electronic total energy   -5.173 eV/atom
E_form (uncorrected)   -721 meV per atom

First-principles (PBE-GGA) data for a relaxed structure of NpInTc4, as listed in Alexandria.

Geometry as extended XYZ:
```
6
Lattice="0.0000 3.7626 3.7626 3.7626 0.0000 3.7626 3.7626 3.7626 0.0000" Properties=species:S:1:pos:R:3 pbc="T T T"
Np 0.0000 0.0000 0.0000
In 5.6438 5.6438 5.6438
Tc 2.8291 2.8291 2.8291
Tc 4.6961 4.6961 2.8291
Tc 4.6961 2.8291 4.6961
Tc 2.8291 4.6961 4.6961
```

Computed properties:
Space group   F-43m (216)
Electronic total energy   -9.305 eV/atom